No. 1
## TmLuSi2Pd (PBE-GGA)

Data for a relaxed structure of TmLuSi2Pd.

The energy above the lowest structure with this stoichiometry comes out at 3 meV per atom. For the magnetization, the calculation gives 0.39 μB/f.u. Its total energy is -59.2 eV/cell.

Cell: 5.5755 5.5755 9.9535 Å, 115.72 115.72 44.33°
Element x y z (fractional)
Tm1 0.0018 0.0018 0.3236
Tm2 0.9982 0.9982 0.6764
Lu1 0.1857 0.1857 0.1057
Lu2 0.8143 0.8143 0.8943
Si1 0.3672 0.3672 0.4337
Si2 0.4794 0.4794 0.1137
Si3 0.5206 0.5206 0.8863
Si4 0.6328 0.6328 0.5663
Pd1 0.2755 0.2755 0.6410
Pd2 0.7245 0.7245 0.3590

No. 2
## TmLuSi2Pd (PBE-GGA)

Data for a relaxed structure of TmLuSi2Pd.

The energy above the lowest structure with this stoichiometry comes out at 0 meV per atom. For the magnetization, the calculation gives 0.39 μB/f.u. Its total energy is -59.3 eV/cell.

Cell: 5.5731 5.5731 9.9459 Å, 115.63 115.63 44.33°
Element x y z (fractional)
Tm1 0.1858 0.1858 0.1058
Tm2 0.8142 0.8142 0.8942
Lu1 0.0019 0.0019 0.3238
Lu2 0.9981 0.9981 0.6762
Si1 0.3674 0.3674 0.4338
Si2 0.4795 0.4795 0.1140
Si3 0.5205 0.5205 0.8860
Si4 0.6326 0.6326 0.5662
Pd1 0.2755 0.2755 0.6408
Pd2 0.7245 0.7245 0.3592

No. 3
## SmLu2Sn4Pd4 (PBE-GGA)

Data for a relaxed structure of SmLu2Sn4Pd4.

For the magnetization, the calculation gives 0.01 μB/f.u. Its total energy is -59.3 eV/cell.

Cell: 8.4761 8.4761 8.4761 Å, 150.31 127.77 61.24°
Element x y z (fractional)
Sm1 0.0000 0.0000 0.0000
Lu1 0.3715 0.8715 0.5000
Lu2 0.6285 0.1285 0.5000
Sn1 0.2168 0.2168 0.0000
Sn2 0.3065 0.5000 0.8065
Sn3 0.6935 0.5000 0.1935
Sn4 0.7832 0.7832 0.0000
Pd1 0.0253 0.3227 0.7026
Pd2 0.3798 0.6773 0.7026
Pd3 0.6202 0.3227 0.2974
Pd4 0.9747 0.6773 0.2974

No. 4
## LuSnPd2 (PBE-GGA)

Data for a relaxed structure of LuSnPd2.

For the magnetization, the calculation gives 0.00 μB/f.u. Its total energy is -85.5 eV/cell.

Cell: 6.7512 6.7512 6.7512 Å, 90.00 90.00 90.00°
Element x y z (fractional)
Lu1 0.0000 0.0000 0.0000
Lu2 0.0000 0.5000 0.5000
Lu3 0.5000 0.0000 0.5000
Lu4 0.5000 0.5000 0.0000
Sn1 0.2500 0.2500 0.7500
Sn2 0.2500 0.7500 0.2500
Sn3 0.7500 0.2500 0.2500
Sn4 0.7500 0.7500 0.7500
Pd1 0.0000 0.0000 0.5000
Pd2 0.0000 0.5000 0.0000
Pd3 0.2500 0.2500 0.2500
Pd4 0.2500 0.7500 0.7500
Pd5 0.5000 0.0000 0.0000
Pd6 0.5000 0.5000 0.5000
Pd7 0.7500 0.2500 0.7500
Pd8 0.7500 0.7500 0.2500

No. 5
## LuSnPd2 (PBE-GGA)

Data for a relaxed structure of LuSnPd2.

For the magnetization, the calculation gives 0.00 μB/f.u. Its total energy is -90.0 eV/cell.

Cell: 6.6916 6.6916 6.6916 Å, 90.00 90.00 90.00°
Element x y z (fractional)
Lu1 0.0000 0.0000 0.0000
Lu2 0.0000 0.5000 0.5000
Lu3 0.5000 0.0000 0.5000
Lu4 0.5000 0.5000 0.0000
Sn1 0.0000 0.0000 0.5000
Sn2 0.0000 0.5000 0.0000
Sn3 0.5000 0.0000 0.0000
Sn4 0.5000 0.5000 0.5000
Pd1 0.2500 0.2500 0.2500
Pd2 0.2500 0.2500 0.7500
Pd3 0.2500 0.7500 0.2500
Pd4 0.2500 0.7500 0.7500
Pd5 0.7500 0.2500 0.2500
Pd6 0.7500 0.2500 0.7500
Pd7 0.7500 0.7500 0.2500
Pd8 0.7500 0.7500 0.7500

No. 6
## LuSn2Pd (PBE-GGA)

Data for a relaxed structure of LuSn2Pd.

For the magnetization, the calculation gives 0.01 μB/f.u. Its total energy is -76.8 eV/cell.

Cell: 7.1212 7.1212 7.1212 Å, 90.00 90.00 90.00°
Element x y z (fractional)
Lu1 0.0000 0.0000 0.0000
Lu2 0.0000 0.5000 0.5000
Lu3 0.5000 0.0000 0.5000
Lu4 0.5000 0.5000 0.0000
Sn1 0.0000 0.0000 0.5000
Sn2 0.0000 0.5000 0.0000
Sn3 0.2500 0.2500 0.2500
Sn4 0.2500 0.7500 0.7500
Sn5 0.5000 0.0000 0.0000
Sn6 0.5000 0.5000 0.5000
Sn7 0.7500 0.2500 0.7500
Sn8 0.7500 0.7500 0.2500
Pd1 0.2500 0.2500 0.7500
Pd2 0.2500 0.7500 0.2500
Pd3 0.7500 0.2500 0.2500
Pd4 0.7500 0.7500 0.7500